[1]
Density functional theory data (GGA-PBE) for a geometry-optimized CaAg5Br12 structure.

```
CaAg5Br12
1.0
3.402 -6.282 0.000
3.402 6.282 0.000
-1.185 0.000 12.896
Ca Ag Br
1 5 12
Direct
0.000 0.000 0.000
0.168 0.832 0.500
0.343 0.657 0.000
0.500 0.500 0.500
0.657 0.343 0.000
0.832 0.168 0.500
0.003 0.340 0.881
0.119 0.452 0.381
0.213 0.213 0.618
0.340 0.003 0.881
0.360 0.360 0.134
0.452 0.119 0.381
0.548 0.881 0.619
0.640 0.640 0.866
0.660 0.997 0.119
0.787 0.787 0.382
0.881 0.548 0.619
0.997 0.660 0.119
```

Output
total DFT energy (no corrections)	-2.48	eV per atom
formation energy from raw total energies	-798	kJ/mol of formula units
magnetization	0.5	μB/cell
N(E_F)	24.7	states/eV/cell

[2]
Density functional theory data (GGA-PBE) for a geometry-optimized CaAg2Br4 structure.

```
CaAg2Br4
1.0
5.728 0.000 0.000
0.000 5.728 0.000
0.000 0.000 13.487
Ca Ag Br
2 4 8
Direct
0.000 0.000 0.000
0.500 0.500 0.500
0.000 0.000 0.396
0.000 0.000 0.604
0.500 0.500 0.104
0.500 0.500 0.896
0.000 0.000 0.207
0.000 0.000 0.793
0.000 0.500 0.000
0.000 0.500 0.500
0.500 0.000 0.000
0.500 0.000 0.500
0.500 0.500 0.293
0.500 0.500 0.707
```

Output
total DFT energy (no corrections)	-2.93	eV per atom
formation energy from raw total energies	-593	kJ/mol of formula units
distance to the lowest polymorph of the same formula	1.23	eV per formula unit
magnetization	0.0	μB/cell